[1]
4
Lattice="3.742 0.000 0.000 0.000 3.742 0.000 0.000 0.000 7.508" Properties=species:S:1:pos:R:3 comment="Li2SmDy (GGA-PBE, relaxed)" volume_a3_per_cell=105 space_group="P4/mmm (123)" e_form_kj_per_mol_atoms=14.84 m_tot_mub_per_cell=0.00 pbc="T T T"
Li 0.000 0.000 5.604
Sm 1.871 1.871 0.000
Dy 1.871 1.871 3.754
Li 0.000 0.000 1.904

=====

[2]
4
Lattice="5.267 0.000 0.000 2.634 4.562 0.000 2.634 1.521 4.301" Properties=species:S:1:pos:R:3 comment="LiSmDySn (GGA-PBE, relaxed)" volume_a3_per_cell=103 space_group="F-43m (216)" e_form_kj_per_mol_atoms=-41.13 m_tot_mub_per_cell=0.00 pbc="T T T"
Dy 0.000 0.000 0.000
Sn 2.634 1.521 1.075
Sm 5.267 3.041 2.150
Li 7.901 4.562 3.226

=====

[3]
7
Lattice="4.800 0.000 0.000 2.400 4.157 0.000 2.400 1.386 8.914" Properties=species:S:1:pos:R:3 comment="Li2SmDy2Sn2 (GGA-PBE, relaxed)" volume_a3_per_cell=178 space_group="R-3m (166)" e_form_kj_per_mol_atoms=-44.35 m_tot_mub_per_cell=0.00 pbc="T T T"
Sn 7.200 4.157 6.991
Dy 2.400 1.386 5.445
Li 4.800 2.771 1.953
Dy 7.200 4.157 3.468
Sn 2.400 1.386 1.923
Li 4.800 2.771 6.961
Sm 0.000 0.000 0.000

=====

[4]
4
Lattice="-4.619 2.952 -0.626 -4.253 -2.098 -2.819 -4.604 -1.485 2.652" Properties=species:S:1:pos:R:3 comment="LiTbSmDy (GGA-PBE, relaxed)" volume_a3_per_cell=119 space_group="F-43m (216)" e_form_kj_per_mol_atoms=16.77 m_tot_mub_per_cell=0.00 pbc="T T T"
Dy -10.107 -0.473 -0.595
Li -3.369 -0.158 -0.198
Tb 0.000 0.000 0.000
Sm -6.738 -0.316 -0.397